1.
MnGaSe | PBE-GGA | optimized geometry

The structure in CIF format:
```
data_MnGaSe
_cell_length_a 5.9899
_cell_length_b 3.4066
_cell_length_c 5.9067
_cell_angle_alpha 90.00
_cell_angle_beta 109.16
_cell_angle_gamma 90.00
_space_group_name_H-M_alt 'P 1'
_space_group_IT_number 1
loop_
_space_group_symop_operation_xyz
'x,y,z'
loop_
_atom_site_label
_atom_site_type_symbol
_atom_site_fract_x
_atom_site_fract_y
_atom_site_fract_z
Ga1 Ga 0.0178 0.5000 0.7159
Ga2 Ga 0.0178 0.0000 0.2159
Se1 Se 0.4667 0.0000 0.3655
Se2 Se 0.4667 0.5000 0.8655
Mn1 Mn 0.7215 0.0000 0.7835
Mn2 Mn 0.7215 0.5000 0.2835
```

Size of the total moment   2.9 μB/f.u.
Raw formation energy   -0.109 eV/atom
Crystal system   trigonal
Energy above the lowest structure with this stoichiometry   0.000 eV/atom

***

2.
Tl2Cd6In | PBE-GGA | optimized geometry

The structure in CIF format:
```
data_Tl2Cd6In
_cell_length_a 3.3017
_cell_length_b 9.0630
_cell_length_c 9.0630
_cell_angle_alpha 59.85
_cell_angle_beta 87.62
_cell_angle_gamma 87.62
_space_group_name_H-M_alt 'P 1'
_space_group_IT_number 1
loop_
_space_group_symop_operation_xyz
'x,y,z'
loop_
_atom_site_label
_atom_site_type_symbol
_atom_site_fract_x
_atom_site_fract_y
_atom_site_fract_z
Cd1 Cd 0.5354 0.3315 0.9996
Cd2 Cd 0.5000 0.6689 0.3311
Cd3 Cd 0.4646 0.0004 0.6685
Cd4 Cd 0.5354 0.9996 0.3315
Cd5 Cd 0.4646 0.6685 0.0004
Cd6 Cd 0.5000 0.3311 0.6689
Tl1 Tl 0.0012 0.6667 0.6667
Tl2 Tl 0.9988 0.3333 0.3333
In1 In 0.0000 0.0000 0.0000
```

Size of the total moment   0.0 μB/f.u.
Energy of formation   0.6 eV per formula unit
Crystal system   monoclinic

***

3.
V2PtRh7 | PBE-GGA | optimized geometry

The structure in CIF format:
```
data_V2PtRh7
_cell_length_a 3.8871
_cell_length_b 7.2948
_cell_length_c 7.2948
_cell_angle_alpha 123.15
_cell_angle_beta 90.00
_cell_angle_gamma 90.00
_space_group_name_H-M_alt 'P 1'
_space_group_IT_number 1
loop_
_space_group_symop_operation_xyz
'x,y,z'
loop_
_atom_site_label
_atom_site_type_symbol
_atom_site_fract_x
_atom_site_fract_y
_atom_site_fract_z
Rh1 Rh 0.5000 0.0811 0.3036
Rh2 Rh 0.5000 0.9189 0.6964
Rh3 Rh 0.0000 0.7896 0.2104
Rh4 Rh 0.5000 0.3036 0.0811
Rh5 Rh 0.0000 0.2104 0.7896
Rh6 Rh 0.5000 0.6964 0.9189
Rh7 Rh 0.5000 0.5000 0.5000
V1 V 0.5000 0.3102 0.6898
V2 V 0.5000 0.6898 0.3102
Pt1 Pt 0.0000 0.0000 0.0000
```

Size of the total moment   0.0 μB/f.u.
Energy of formation   4.2 eV per formula unit
Crystal system   orthorhombic

***

4.
LaAuCl | PBE-GGA | optimized geometry

The structure in CIF format:
```
data_LaAuCl
_cell_length_a 4.9592
_cell_length_b 4.9592
_cell_length_c 4.9592
_cell_angle_alpha 60.00
_cell_angle_beta 60.00
_cell_angle_gamma 60.00
_space_group_name_H-M_alt 'P 1'
_space_group_IT_number 1
loop_
_space_group_symop_operation_xyz
'x,y,z'
loop_
_atom_site_label
_atom_site_type_symbol
_atom_site_fract_x
_atom_site_fract_y
_atom_site_fract_z
Cl1 Cl 0.0000 0.0000 0.0000
La1 La 0.5000 0.5000 0.5000
Au1 Au 0.7500 0.7500 0.7500
```

Size of the total moment   0.0 μB/f.u.
Raw formation energy   -0.848 eV/atom
Crystal system   cubic
Energy above the lowest structure with this stoichiometry   0.554 eV/atom

***

5.
CuAs2Pd3 | PBE-GGA | optimized geometry

The structure in CIF format:
```
data_CuAs2Pd3
_cell_length_a 5.3086
_cell_length_b 5.5611
_cell_length_c 7.5358
_cell_angle_alpha 111.65
_cell_angle_beta 110.62
_cell_angle_gamma 90.00
_space_group_name_H-M_alt 'P 1'
_space_group_IT_number 1
loop_
_space_group_symop_operation_xyz
'x,y,z'
loop_
_atom_site_label
_atom_site_type_symbol
_atom_site_fract_x
_atom_site_fract_y
_atom_site_fract_z
As1 As 0.3792 0.1341 0.2682
As2 As 0.1110 0.3659 0.7318
As3 As 0.8890 0.6341 0.2682
As4 As 0.6208 0.8659 0.7318
Pd1 Pd 0.9286 0.1741 0.3481
Pd2 Pd 0.5804 0.3259 0.6519
Pd3 Pd 0.4196 0.6741 0.3481
Pd4 Pd 0.5000 0.2500 0.0000
Pd5 Pd 0.0714 0.8259 0.6519
Pd6 Pd 0.5000 0.7500 0.0000
Cu1 Cu 0.0000 0.7500 0.0000
Cu2 Cu 0.0000 0.2500 0.0000
```

Size of the total moment   0.0 μB/f.u.
Energy of formation   -1.3 eV per formula unit
Crystal system   orthorhombic

***

6.
Er2GaAg2 | PBE-GGA | optimized geometry

The structure in CIF format:
```
data_Er2GaAg2
_cell_length_a 3.7672
_cell_length_b 5.7786
_cell_length_c 11.0729
_cell_angle_alpha 92.22
_cell_angle_beta 80.21
_cell_angle_gamma 70.98
_space_group_name_H-M_alt 'P 1'
_space_group_IT_number 1
loop_
_space_group_symop_operation_xyz
'x,y,z'
loop_
_atom_site_label
_atom_site_type_symbol
_atom_site_fract_x
_atom_site_fract_y
_atom_site_fract_z
Ga1 Ga 0.6142 0.0824 0.6893
Ga2 Ga 0.3858 0.9176 0.3107
Ag1 Ag 0.8831 0.7704 0.4634
Ag2 Ag 0.3550 0.1808 0.1092
Ag3 Ag 0.1169 0.2296 0.5366
Ag4 Ag 0.6450 0.8192 0.8908
Er1 Er 0.6518 0.3676 0.3288
Er2 Er 0.3482 0.6324 0.6712
Er3 Er 0.9175 0.2712 0.8939
Er4 Er 0.0825 0.7288 0.1061
```

Size of the total moment   0.0 μB/f.u.
Energy of formation   -1.8 eV per formula unit
Crystal system   monoclinic

***

7.
MgHIr2 | PBE-GGA | optimized geometry

The structure in CIF format:
```
data_MgHIr2
_cell_length_a 4.7346
_cell_length_b 5.1606
_cell_length_c 5.2562
_cell_angle_alpha 89.35
_cell_angle_beta 88.54
_cell_angle_gamma 62.70
_space_group_name_H-M_alt 'P 1'
_space_group_IT_number 1
loop_
_space_group_symop_operation_xyz
'x,y,z'
loop_
_atom_site_label
_atom_site_type_symbol
_atom_site_fract_x
_atom_site_fract_y
_atom_site_fract_z
H1 H 0.0643 0.7950 0.1490
H2 H 0.7926 0.3369 0.6505
Ir1 Ir 0.2110 0.0233 0.2849
Ir2 Ir 0.6462 0.1083 0.5148
Ir3 Ir 0.6886 0.0236 0.0148
Ir4 Ir 0.1683 0.1086 0.7849
Mg1 Mg 0.7030 0.5180 0.1515
Mg2 Mg 0.1550 0.6137 0.6508
```

Size of the total moment   0.0 μB/f.u.
Crystal system   triclinic
Energy above the lowest structure with this stoichiometry   0.033 eV/atom

***

8.
Ca2Zn3Ga4Ir | PBE-GGA | optimized geometry

The structure in CIF format:
```
data_Ca2Zn3Ga4Ir
_cell_length_a 4.1637
_cell_length_b 4.1637
_cell_length_c 11.0022
_cell_angle_alpha 90.00
_cell_angle_beta 90.00
_cell_angle_gamma 90.00
_space_group_name_H-M_alt 'P 1'
_space_group_IT_number 1
loop_
_space_group_symop_operation_xyz
'x,y,z'
loop_
_atom_site_label
_atom_site_type_symbol
_atom_site_fract_x
_atom_site_fract_y
_atom_site_fract_z
Zn1 Zn 0.5000 0.0000 0.8578
Zn2 Zn 0.0000 0.5000 0.1422
Zn3 Zn 0.0000 0.0000 0.5000
Ga1 Ga 0.5000 0.5000 0.0000
Ga2 Ga 0.0000 0.0000 0.0000
Ga3 Ga 0.0000 0.5000 0.3690
Ga4 Ga 0.5000 0.0000 0.6310
Ca1 Ca 0.0000 0.5000 0.7427
Ca2 Ca 0.5000 0.0000 0.2573
Ir1 Ir 0.5000 0.5000 0.5000
```

Size of the total moment   0.0 μB/f.u.
Energy of formation   -3.8 eV per formula unit
Crystal system   tetragonal

***

9.
CeDy4Au5 | PBE-GGA | optimized geometry

The structure in CIF format:
```
data_CeDy4Au5
_cell_length_a 3.5812
_cell_length_b 3.5812
_cell_length_c 18.4781
_cell_angle_alpha 90.00
_cell_angle_beta 90.00
_cell_angle_gamma 90.00
_space_group_name_H-M_alt 'P 1'
_space_group_IT_number 1
loop_
_space_group_symop_operation_xyz
'x,y,z'
loop_
_atom_site_label
_atom_site_type_symbol
_atom_site_fract_x
_atom_site_fract_y
_atom_site_fract_z
Dy1 Dy 0.0000 0.0000 0.4012
Dy2 Dy 0.0000 0.0000 0.2040
Dy3 Dy 0.0000 0.0000 0.7960
Dy4 Dy 0.0000 0.0000 0.5988
Ce1 Ce 0.0000 0.0000 0.0000
Au1 Au 0.5000 0.5000 0.3030
Au2 Au 0.5000 0.5000 0.1102
Au3 Au 0.5000 0.5000 0.5000
Au4 Au 0.5000 0.5000 0.8898
Au5 Au 0.5000 0.5000 0.6970
```

Size of the total moment   1.1 μB/f.u.
Energy of formation   -8.1 eV per formula unit
Crystal system   tetragonal

***

10.
YTcN3 | PBE-GGA | optimized geometry

The structure in CIF format:
```
data_YTcN3
_cell_length_a 3.5497
_cell_length_b 4.5140
_cell_length_c 4.5079
_cell_angle_alpha 108.43
_cell_angle_beta 90.00
_cell_angle_gamma 90.00
_space_group_name_H-M_alt 'P 1'
_space_group_IT_number 1
loop_
_space_group_symop_operation_xyz
'x,y,z'
loop_
_atom_site_label
_atom_site_type_symbol
_atom_site_fract_x
_atom_site_fract_y
_atom_site_fract_z
N1 N 0.8923 0.9253 0.1566
N2 N 0.3923 0.3700 0.6002
N3 N 0.8923 0.7805 0.3705
Y1 Y 0.3923 0.9530 0.8087
Tc1 Tc 0.8923 0.3793 0.4189
```

Size of the total moment   0.0 μB/f.u.
Raw formation energy   -0.372 eV/atom
Crystal system   monoclinic

***

11.
SbH2Pt2 | PBE-GGA | optimized geometry

The structure in CIF format:
```
data_SbH2Pt2
_cell_length_a 7.0461
_cell_length_b 7.0461
_cell_length_c 2.9372
_cell_angle_alpha 90.00
_cell_angle_beta 90.00
_cell_angle_gamma 90.00
_space_group_name_H-M_alt 'P 1'
_space_group_IT_number 1
loop_
_space_group_symop_operation_xyz
'x,y,z'
loop_
_atom_site_label
_atom_site_type_symbol
_atom_site_fract_x
_atom_site_fract_y
_atom_site_fract_z
H1 H 0.2255 0.2745 0.5000
H2 H 0.7255 0.2255 0.5000
H3 H 0.7745 0.7255 0.5000
H4 H 0.2745 0.7745 0.5000
Pt1 Pt 0.1363 0.3637 0.0000
Pt2 Pt 0.3637 0.8637 0.0000
Pt3 Pt 0.8637 0.6363 0.0000
Pt4 Pt 0.6363 0.1363 0.0000
Sb1 Sb 0.0000 0.0000 0.0000
Sb2 Sb 0.5000 0.5000 0.0000
```

Size of the total moment   0.0 μB/f.u.
Crystal system   tetragonal
Energy above the lowest structure with this stoichiometry   0.000 eV/atom

***

12.
KInW2 | PBE-GGA | optimized geometry

The structure in CIF format:
```
data_KInW2
_cell_length_a 2.9727
_cell_length_b 2.9727
_cell_length_c 10.6470
_cell_angle_alpha 90.00
_cell_angle_beta 90.00
_cell_angle_gamma 112.52
_space_group_name_H-M_alt 'P 1'
_space_group_IT_number 1
loop_
_space_group_symop_operation_xyz
'x,y,z'
loop_
_atom_site_label
_atom_site_type_symbol
_atom_site_fract_x
_atom_site_fract_y
_atom_site_fract_z
W1 W 0.0000 0.0000 0.0476
W2 W 0.5000 0.5000 0.2306
K1 K 0.5000 0.5000 0.7560
In1 In 0.0000 0.0000 0.4658
```

Size of the total moment   0.0 μB/f.u.
Energy of formation   2.8 eV per formula unit
Crystal system   orthorhombic